# 1
The following is a PBE calculation of crystalline Pr6GaTc2Cl3 at its relaxed geometry, from the Alexandria database.

The structure in extended XYZ format:
```
12
Lattice="3.6322 -6.2919 0.0000 3.6322 6.2919 0.0000 -2.3990 0.0000 7.6039" Properties=species:S:1:pos:R:3 pbc="T T T"
Pr -0.0592 2.2328 6.0274
Pr 1.0560 0.0000 1.5843
Pr -0.0592 -2.2328 6.0274
Pr 4.9245 2.2328 1.5765
Pr 3.8094 0.0000 6.0196
Pr 4.9245 -2.2328 1.5765
Ga 3.6322 0.0000 0.0000
Tc 3.6322 4.2057 0.0000
Tc 3.6322 -4.2057 0.0000
Cl -1.1995 0.0000 3.8020
Cl 2.4327 2.1775 3.8020
Cl 2.4327 -2.1775 3.8020
```

Properties
ρ (g cm⁻³): 5.8
Volume (Å³ per atom): 28.96
Formation energy from raw total energies (eV/f.u.): -8.6
Symmetry: C2/m (12)


# 2
The following is a PBE calculation of crystalline Nd3ZnI3 at its relaxed geometry, from the Alexandria database.

The structure in extended XYZ format:
```
28
Lattice="-6.2501 6.2501 6.2501 6.2501 -6.2501 6.2501 6.2501 6.2501 -6.2501" Properties=species:S:1:pos:R:3 pbc="T T T"
Nd 1.7285 1.5625 -1.3965
Nd 7.6467 1.7285 -1.5625
Nd 1.5625 -1.3965 1.7285
Nd 4.8536 4.5216 -1.5625
Nd 4.5216 1.5625 1.3965
Nd -1.3965 1.7285 1.5625
Nd 4.5216 -1.5625 4.8536
Nd 1.5625 1.3965 4.5216
Nd 1.3965 4.5216 1.5625
Nd 1.7285 -1.5625 7.6467
Nd -1.5625 7.6467 1.7285
Nd -1.5625 4.8536 4.5216
Zn 4.6876 1.5625 -1.5625
Zn 1.5625 1.5625 1.5625
Zn 1.5625 -1.5625 4.6876
Zn -1.5625 4.6876 1.5625
I 7.8127 1.4493 1.6757
I 7.8127 -1.4493 4.5744
I 4.5744 7.8127 -1.4493
I 4.8008 1.6757 4.6876
I 4.6876 4.8008 1.6757
I 1.6757 7.8127 1.4493
I 7.6995 4.5744 4.6876
I 1.6757 4.6876 4.8008
I 1.4493 1.6757 7.8127
I 4.6876 7.6995 4.5744
I -1.4493 4.5744 7.8127
I 4.5744 4.6876 7.6995
```

Properties
ρ (g cm⁻³): 6.0
Volume (Å³ per atom): 34.88
Formation energy from raw total energies (eV/f.u.): -6.6
Symmetry: I4_132 (214)


# 3
The following is a PBE calculation of crystalline Sr2FeH at its relaxed geometry, from the Alexandria database.

The structure in extended XYZ format:
```
8
Lattice="-3.6500 3.6500 4.0201 3.6500 -3.6500 4.0201 3.6500 3.6500 -4.0201" Properties=species:S:1:pos:R:3 pbc="T T T"
Sr 5.4750 1.2202 -1.0050
Sr 1.2202 1.8250 1.0050
Sr -1.8250 2.4298 3.0151
Sr 2.4298 1.8250 5.0251
Fe 3.6500 0.0000 2.0100
Fe 0.0000 0.0000 4.0201
H 0.0000 0.0000 0.0000
H 0.0000 3.6500 2.0100
```

Properties
ρ (g cm⁻³): 3.6
Distance to the lowest polymorph of the same formula (eV per atom): 0.000
Volume (Å³ per atom): 26.78
Symmetry: I-42d (122)


# 4
The following is a PBE calculation of crystalline NaPb3C at its relaxed geometry, from the Alexandria database.

The structure in extended XYZ format:
```
5
Lattice="5.5134 0.0000 0.0000 0.0000 5.5134 0.0000 0.0000 0.0000 5.5134" Properties=species:S:1:pos:R:3 pbc="T T T"
Na 0.0000 0.0000 0.0000
Pb 0.0000 0.0000 2.7567
Pb 0.0000 2.7567 0.0000
Pb 2.7567 0.0000 0.0000
C 2.7567 2.7567 2.7567
```

Properties
ρ (g cm⁻³): 6.5
Distance to the lowest polymorph of the same formula (eV per atom): 1.000
E_form (eV per atom): 1.811
Volume (Å³ per atom): 33.52
Symmetry: Pm-3m (221)


# 5
The following is a PBE calculation of crystalline Pr2SmEr6 at its relaxed geometry, from the Alexandria database.

The structure in extended XYZ format:
```
9
Lattice="-1.7472 5.1502 8.1120 1.7472 -5.1502 8.1120 1.7472 5.1502 -8.1120" Properties=species:S:1:pos:R:3 pbc="T T T"
Pr 0.0000 0.0000 2.5385
Pr 0.0000 0.0000 13.6854
Sm 0.0000 5.1502 0.0000
Er 1.7472 -1.7173 5.2316
Er 1.7472 1.9482 0.0000
Er 1.7472 1.7173 5.2316
Er 0.0000 3.4329 2.8804
Er 0.0000 3.2019 8.1120
Er 0.0000 6.8675 2.8804
```

Properties
ρ (g cm⁻³): 8.2
Distance to the lowest polymorph of the same formula (eV per atom): 0.000
E_form (eV per atom): 0.109
Volume (Å³ per atom): 32.44
Symmetry: Immm (71)


# 6
The following is a PBE calculation of crystalline BPd2PtPb at its relaxed geometry, from the Alexandria database.

The structure in extended XYZ format:
```
5
Lattice="4.4003 0.0000 0.0000 0.0000 4.4003 0.0000 0.0000 0.0000 4.2137" Properties=species:S:1:pos:R:3 pbc="T T T"
B 0.0000 0.0000 0.0000
Pd 0.0000 2.2002 0.0000
Pd 2.2002 0.0000 0.0000
Pt 0.0000 0.0000 2.1069
Pb 2.2002 2.2002 2.1069
```

Properties
ρ (g cm⁻³): 12.7
E_form (eV per atom): -0.136
Volume (Å³ per atom): 16.32
Symmetry: P4/mmm (123)